! PBE-GGA InReSeN2, relaxed; values from VASP
! calculated total energy	-6.728	eV per atom
! formation energy without anion corrections	336	meV/atom
! distance to the lowest polymorph of the same formula	0.000	eV/atom
! magnetic moment	0.2	μB/f.u.
&SYSTEM
  ibrav = 0, nat = 5, ntyp = 4
/
ATOMIC_SPECIES
Re 186.21 Re.upf
N 14.01 N.upf
Se 78.96 Se.upf
In 114.82 In.upf
ATOMIC_POSITIONS angstrom
Re 0.0000 0.0000 0.0000
N 0.3084 -1.1960 -1.5184
N -0.8893 1.2775 -1.1868
Se -2.3945 -1.2235 0.4773
In -2.9754 -1.1420 -2.2279
CELL_PARAMETERS angstrom
-1.7785 2.5549 -2.3736
0.6168 -2.3920 -3.0369
-4.7891 -2.4469 0.9546



! PBE-GGA Li2TlGaH, relaxed; values from VASP
! calculated total energy	-2.634	eV per atom
! distance to the lowest polymorph of the same formula	0.000	eV/atom
! magnetic moment	0.0	μB/f.u.
&SYSTEM
  ibrav = 0, nat = 5, ntyp = 4
/
ATOMIC_SPECIES
H 1.01 H.upf
Tl 204.38 Tl.upf
Ga 69.72 Ga.upf
Li 6.94 Li.upf
ATOMIC_POSITIONS angstrom
H 0.0000 0.0000 0.0000
Tl -0.0296 0.4613 3.6549
Ga 1.6474 0.2742 1.0349
Li -0.7050 -1.4465 1.5055
Li -0.9720 1.6337 1.1145
CELL_PARAMETERS angstrom
-1.9441 3.2674 2.2291
-1.4100 -2.8931 3.0110
3.2948 0.5483 2.0698



! PBE-GGA SrMnAg2As, relaxed; values from VASP
! calculated total energy	-3.859	eV per atom
! formation energy	0.381	eV/atom
! magnetic moment	4.2	μB/f.u.
&SYSTEM
  ibrav = 0, nat = 5, ntyp = 4
/
ATOMIC_SPECIES
Sr 87.62 Sr.upf
As 74.92 As.upf
Mn 54.94 Mn.upf
Ag 107.87 Ag.upf
ATOMIC_POSITIONS angstrom
Sr 0.0000 2.9703 0.0000
As 0.0000 0.0000 0.0000
Mn 2.4944 2.9703 2.4944
Ag 0.0000 0.0000 2.4944
Ag 2.4944 0.0000 0.0000
CELL_PARAMETERS angstrom
4.9888 0.0000 0.0000
0.0000 5.9407 0.0000
0.0000 0.0000 4.9888



! PBE-GGA InCo2S2, relaxed; values from VASP
! calculated total energy	-4.964	eV per atom
! formation energy without anion corrections	77	meV/atom
! magnetic moment	0.0	μB/f.u.
&SYSTEM
  ibrav = 0, nat = 5, ntyp = 3
/
ATOMIC_SPECIES
S 32.06 S.upf
Co 58.93 Co.upf
In 114.82 In.upf
ATOMIC_POSITIONS angstrom
S 4.1809 2.0905 2.2779
S 2.0905 4.1809 2.2779
Co 2.0905 2.0905 1.3879
Co 4.1809 4.1809 3.1679
In 0.0000 0.0000 0.0000
CELL_PARAMETERS angstrom
4.1809 0.0000 0.0000
0.0000 4.1809 0.0000
2.0905 2.0905 4.5557